No. 1
Entry from the Alexandria database: a relaxed TaAgSN2 crystal (PBE).

* density of states at the Fermi level: 3.2 states/eV/cell
* offset from the most stable computed form: 1.6633 eV/atom
* volume: 72.92 Å³ per cell
* energy: -5.189 eV per atom
* E_form (uncorrected): 9.54 eV/f.u.

a b c (Å): 3.9787 3.9787 4.6065
angles (deg): 90.00 90.00 90.00
Sites, in units of the cell vectors:
S 0.0000 0.0000 0.5000
N 0.0000 0.5000 0.0000
N 0.5000 0.0000 0.0000
Ag 0.0000 0.0000 0.0000
Ta 0.5000 0.5000 0.5000

=====

No. 2
Entry from the Alexandria database: a relaxed TcAgS2N crystal (PBE).

* density of states at the Fermi level: 2.7 states/eV/cell
* offset from the most stable computed form: 1.2764 eV/atom
* volume: 96.71 Å³ per cell
* energy: -4.318 eV per atom
* E_form (uncorrected): 8.21 eV/f.u.

a b c (Å): 4.9349 4.9349 3.9712
angles (deg): 90.00 90.00 90.00
Sites, in units of the cell vectors:
S 0.0000 0.5000 0.0000
S 0.5000 0.0000 0.0000
Tc 0.5000 0.5000 0.5000
Ag 0.0000 0.0000 0.0000
N 0.0000 0.0000 0.5000

=====

No. 3
Entry from the Alexandria database: a relaxed TcAgSN2 crystal (PBE).

* density of states at the Fermi level: 2.4 states/eV/cell
* offset from the most stable computed form: 0.0000 eV/atom
* volume: 75.59 Å³ per cell
* energy: -6.240 eV per atom
* E_form (uncorrected): 2.79 eV/f.u.

a b c (Å): 3.8036 3.8036 5.2252
angles (deg): 90.00 90.00 90.00
Sites, in units of the cell vectors:
S 0.0000 0.0000 0.5000
Tc 0.0000 0.0000 0.0000
Ag 0.5000 0.5000 0.5000
N 0.0000 0.5000 0.0000
N 0.5000 0.0000 0.0000

=====

- What is the E_form (uncorrected) in the first record?
  9.54 eV/f.u.

=====

Repeat the first record exactly.
Entry from the Alexandria database: a relaxed TaAgSN2 crystal (PBE).

* density of states at the Fermi level: 3.2 states/eV/cell
* offset from the most stable computed form: 1.6633 eV/atom
* volume: 72.92 Å³ per cell
* energy: -5.189 eV per atom
* E_form (uncorrected): 9.54 eV/f.u.

a b c (Å): 3.9787 3.9787 4.6065
angles (deg): 90.00 90.00 90.00
Sites, in units of the cell vectors:
S 0.0000 0.0000 0.5000
N 0.0000 0.5000 0.0000
N 0.5000 0.0000 0.0000
Ag 0.0000 0.0000 0.0000
Ta 0.5000 0.5000 0.5000

=====

- Number 3 is which compound?
  TcAgSN2

=====

Copy entry 3 word for word.
Entry from the Alexandria database: a relaxed TcAgSN2 crystal (PBE).

* density of states at the Fermi level: 2.4 states/eV/cell
* offset from the most stable computed form: 0.0000 eV/atom
* volume: 75.59 Å³ per cell
* energy: -6.240 eV per atom
* E_form (uncorrected): 2.79 eV/f.u.

a b c (Å): 3.8036 3.8036 5.2252
angles (deg): 90.00 90.00 90.00
Sites, in units of the cell vectors:
S 0.0000 0.0000 0.5000
Tc 0.0000 0.0000 0.0000
Ag 0.5000 0.5000 0.5000
N 0.0000 0.5000 0.0000
N 0.5000 0.0000 0.0000